The following is a DFT calculation (PBE-GGA) of a relaxed structure of LiTmMnRh.

a b c (Å): 6.4971 6.4971 6.4971
angles (deg): 90.00 90.00 90.00
With the nearest neighbours (Å) after each atom.
Space group F-43m (No. 216)
Asymmetric unit:
1 Li 0.0000 0.0000 0.0000  4 Mn 2.81, 4 Tm 2.81
2 Tm 0.2500 0.2500 0.2500  4 Li 2.81, 4 Rh 2.81
3 Mn 0.2500 0.2500 0.7500  4 Li 2.81, 4 Rh 2.81
4 Rh 0.0000 0.0000 0.5000  4 Mn 2.81, 4 Tm 2.81

Values from the calculation:
DOS(E_F), states/eV per atom: 0.574
Formation enthalpy at 0 K, eV/f.u.: -1.1

The following is a DFT calculation (PBE-GGA) of a relaxed structure of SbO.

a b c (Å): 5.4130 5.4130 5.4130
angles (deg): 90.00 90.00 90.00
With the nearest neighbours (Å) after each atom.
Space group F-43m (No. 216)
Asymmetric unit:
1 Sb 0.0000 0.0000 0.0000  4 O 2.34
2 O 0.2500 0.2500 0.2500  4 Sb 2.34

Values from the calculation:
DOS(E_F), states/eV per atom: 0.447
E_form (uncorrected), eV per formula unit: -0.68

The following is a DFT calculation (PBE-GGA) of a relaxed structure of CrSbP.

a b c (Å): 3.0091 4.3363 9.1673
angles (deg): 93.32 98.40 109.56
With the nearest neighbours (Å) after each atom.
Space group P-1 (No. 2)
Asymmetric unit:
1 Cr 0.0921 0.2569 0.4170  5 P 2.28-2.39
2 Sb 0.0198 0.2783 0.1222  1 Cr 2.69, 2 Sb 3.01
3 P 0.3547 0.8027 0.3870  5 Cr 2.28-2.39, 1 P 2.46

Values from the calculation:
DOS(E_F), states/eV per atom: 0.726
E_form (uncorrected), eV per formula unit: -0.29

The following is a DFT calculation (PBE-GGA) of a relaxed structure of Mg4BeBr.

a b c (Å): 8.2167 8.2167 8.2167
angles (deg): 90.00 90.00 90.00
With the nearest neighbours (Å) after each atom.
Space group F-43m (No. 216)
Asymmetric unit:
1 Mg 0.1237 0.1237 0.1237  6 Mg 2.87-2.94
2 Be 0.2500 0.2500 0.7500  12 Mg 3.40, 4 Br 3.56
3 Br 0.0000 0.0000 0.5000  12 Mg 3.41, 4 Be 3.56

Values from the calculation:
DOS(E_F), states/eV per atom: 0.509
E_form (uncorrected), eV per formula unit: 2.27

Copy entry 1 word for word.
The following is a DFT calculation (PBE-GGA) of a relaxed structure of LiTmMnRh.

a b c (Å): 6.4971 6.4971 6.4971
angles (deg): 90.00 90.00 90.00
With the nearest neighbours (Å) after each atom.
Space group F-43m (No. 216)
Asymmetric unit:
1 Li 0.0000 0.0000 0.0000  4 Mn 2.81, 4 Tm 2.81
2 Tm 0.2500 0.2500 0.2500  4 Li 2.81, 4 Rh 2.81
3 Mn 0.2500 0.2500 0.7500  4 Li 2.81, 4 Rh 2.81
4 Rh 0.0000 0.0000 0.5000  4 Mn 2.81, 4 Tm 2.81

Values from the calculation:
DOS(E_F), states/eV per atom: 0.574
Formation enthalpy at 0 K, eV/f.u.: -1.1

Which formula does entry 4 have? Mg4BeBr